(1)
The following is a DFT calculation (PBE) of a geometry-optimized TcBiS2N structure.

E_form (uncorrected)   1.580 eV per atom
Energy   -22.9 eV/cell
Polymorph energy (0 for the lowest one)   696 kJ/mol of formula units
D(E_F)   1.1069 states/eV/atom

abc: 5.2319 5.2319 4.2051
angles: 90.00 90.00 90.00
With the nearest neighbours (Å) after each atom.
Atoms (fractional coordinates):
Tc  0.0000  0.0000  0.0000  8 S 3.36, 4 N 3.70
Bi  0.5000  0.5000  0.5000  2 N 2.10
S  0.0000  0.5000  0.5000  2 Bi 2.62
S  0.5000  0.0000  0.5000  2 Bi 2.62
N  0.5000  0.5000  0.0000  2 Bi 2.10

---

(2)
The following is a DFT calculation (PBE) of a geometry-optimized SrMnW2 structure.

E_form   1254 meV/atom
Energy   -31.7 eV/cell
Polymorph energy (0 for the lowest one)   179 kJ/mol of formula units
D(E_F)   0.9013 states/eV/atom

abc: 3.9193 3.9193 5.0660
angles: 90.00 90.00 90.00
With the nearest neighbours (Å) after each atom.
Atoms (fractional coordinates):
Sr  0.0000  0.0000  0.0000  4 Mn 2.77
Mn  0.5000  0.5000  0.0000  4 Sr 2.77
W  0.0000  0.5000  0.5000  4 W 2.77
W  0.5000  0.0000  0.5000  4 W 2.77

---

(3)
The following is a DFT calculation (PBE) of a geometry-optimized Ho2TcMo3 structure.

E_form   -14 meV/atom
Energy   -52.1 eV/cell
D(E_F)   0.9425 states/eV/atom

abc: 5.4743 5.4743 5.4802
angles: 119.89 119.89 59.87
With the nearest neighbours (Å) after each atom.
Atoms (fractional coordinates):
Ho  0.1256  0.1256  0.3772  3 Tc 3.20-3.21, 9 Mo 3.21-3.22, 4 Ho 3.34-3.38
Ho  0.8744  0.8744  0.6228  3 Tc 3.20-3.21, 9 Mo 3.21-3.22, 4 Ho 3.34-3.38
Tc  0.5000  0.5000  0.5000  6 Mo 2.74
Mo  0.0000  0.5000  0.0000  4 Mo 2.73-2.74, 2 Tc 2.74
Mo  0.5000  0.0000  0.0000  4 Mo 2.73-2.74, 2 Tc 2.74
Mo  0.5000  0.5000  0.0000  4 Mo 2.74, 2 Tc 2.74

---

(4)
The following is a DFT calculation (PBE) of a geometry-optimized Rb2NbTeAu structure.

E_form (uncorrected)   0.788 eV per atom
Energy   -14.5 eV/cell
D(E_F)   0.9789 states/eV/atom

abc: 7.0378 7.0378 5.2476
angles: 90.00 90.00 90.00
With the nearest neighbours (Å) after each atom.
Atoms (fractional coordinates):
Rb  0.0000  0.5000  0.0000  2 Te 3.52
Rb  0.5000  0.0000  0.0000  2 Te 3.52
Nb  0.0000  0.0000  0.5000  8 Rb 4.39
Te  0.5000  0.5000  0.0000  2 Au 2.62
Au  0.5000  0.5000  0.5000  2 Te 2.62

---

(5)
The following is a DFT calculation (PBE) of a geometry-optimized Ho8Ge3PS4 structure.

E_form (uncorrected)   -1.557 eV per atom
Energy   -97.3 eV/cell
D(E_F)   0.2677 states/eV/atom

abc: 8.0105 8.0105 8.0105
angles: 60.14 60.14 60.14
With the nearest neighbours (Å) after each atom.
Atoms (fractional coordinates):
Ho  0.2499  0.2499  0.2499  3 Ge 2.83, 3 S 2.84
Ho  0.2501  0.7475  0.7475  1 P 2.81, 2 Ge 2.82, 3 S 2.85-2.86
Ho  0.2525  0.2525  0.7499  1 P 2.81, 2 Ge 2.82, 3 S 2.85-2.86
Ho  0.2525  0.7499  0.2525  1 P 2.81, 2 Ge 2.82, 3 S 2.85-2.86
Ho  0.7475  0.2501  0.7475  1 P 2.81, 2 Ge 2.82, 3 S 2.85-2.86
Ho  0.7475  0.7475  0.2501  1 P 2.81, 2 Ge 2.82, 3 S 2.85-2.86
Ho  0.7499  0.2525  0.2525  1 P 2.81, 2 Ge 2.82, 3 S 2.85-2.86
Ho  0.7501  0.7501  0.7501  3 Ge 2.83, 3 S 2.84
Ge  0.0000  0.0000  0.5000  6 Ho 2.82-2.83
Ge  0.0000  0.5000  0.0000  6 Ho 2.82-2.83
Ge  0.5000  0.0000  0.0000  6 Ho 2.82-2.83
P  0.5000  0.5000  0.5000  6 Ho 2.81
S  0.0000  0.0000  0.0000  6 Ho 2.86
S  0.0000  0.5000  0.5000  6 Ho 2.84-2.85
S  0.5000  0.0000  0.5000  6 Ho 2.84-2.85
S  0.5000  0.5000  0.0000  6 Ho 2.84-2.85

---

(6)
The following is a DFT calculation (PBE) of a geometry-optimized Sm2ZnFe3Ni12 structure.

E_form   83 meV/atom
Energy   -104.0 eV/cell
D(E_F)   1.2018 states/eV/atom

abc: 6.2845 6.2845 6.2845
angles: 83.79 83.79 83.79
With the nearest neighbours (Å) after each atom.
Atoms (fractional coordinates):
Sm  0.2172  0.2172  0.2172  9 Ni 2.79-2.82, 3 Fe 2.80
Sm  0.7828  0.7828  0.7828  9 Ni 2.79-2.82, 3 Fe 2.80
Zn  0.5000  0.5000  0.5000  6 Ni 2.34
Fe  0.0000  0.5000  0.5000  6 Ni 2.50-2.71, 2 Sm 2.80
Fe  0.5000  0.0000  0.5000  6 Ni 2.50-2.71, 2 Sm 2.80
Fe  0.5000  0.5000  0.0000  6 Ni 2.50-2.71, 2 Sm 2.80
Ni  0.0809  0.0809  0.6475  6 Ni 2.32-2.60
Ni  0.0809  0.6475  0.0809  6 Ni 2.32-2.60
Ni  0.2268  0.6980  0.6980  5 Ni 2.32-2.49, 1 Zn 2.34, 1 Fe 2.50
Ni  0.3020  0.3020  0.7732  5 Ni 2.32-2.49, 1 Zn 2.34, 1 Fe 2.50
Ni  0.3020  0.7732  0.3020  5 Ni 2.32-2.49, 1 Zn 2.34, 1 Fe 2.50
Ni  0.3525  0.9191  0.9191  6 Ni 2.32-2.60
Ni  0.6475  0.0809  0.0809  6 Ni 2.32-2.60
Ni  0.6980  0.2268  0.6980  5 Ni 2.32-2.49, 1 Zn 2.34, 1 Fe 2.50
Ni  0.6980  0.6980  0.2268  5 Ni 2.32-2.49, 1 Zn 2.34, 1 Fe 2.50
Ni  0.7732  0.3020  0.3020  5 Ni 2.32-2.49, 1 Zn 2.34, 1 Fe 2.50
Ni  0.9191  0.3525  0.9191  6 Ni 2.32-2.60
Ni  0.9191  0.9191  0.3525  6 Ni 2.32-2.60

---

> energy of number 2 (SrMnW2)?

-31.7 eV/cell

---

> Among the records above, which one has the highest D(E_F)?

Sm2ZnFe3Ni12

---

> What is the formula in the sixth record?

Sm2ZnFe3Ni12

---

> Which value of D(E_F) does entry 5 give?

0.2677 states/eV/atom